No. 1
A relaxed Zr4CdGeN2 crystal. Source: OQMD via LeMat-Bulk, functional PBE.

```
8
Lattice="-3.0236 -0.5802 -1.1978 0.6003 -0.3829 3.2260 -3.5067 13.5962 2.2663" Properties=species:S:1:pos:R:3 pbc="T T T"
Cd 0.0000 0.0000 0.0000
Ge -3.5690 6.2836 1.4099
N -1.5165 3.0750 2.3387
N -3.2056 9.6238 3.4303
Zr -2.4277 1.8584 0.6723
Zr -1.2255 4.7515 0.7920
Zr -2.2812 8.8446 1.4742
Zr -4.7104 10.7089 2.1475
```

Properties
Total magnetization, μB per formula unit: 0.008
Total DFT energy (no corrections), eV/cell: -64.82

---

No. 2
A relaxed Rb2CdSe2O6 crystal. Source: OQMD via LeMat-Bulk, functional PBE.

```
11
Lattice="1.3131 -6.1543 3.7016 3.6961 -6.1011 -1.5545 6.0626 -3.0264 2.7181" Properties=species:S:1:pos:R:3 pbc="T T T"
Cd 0.0000 0.0000 0.0000
O 3.4408 -6.7792 2.9729
O 4.5550 -6.7544 0.5153
O 5.4104 -9.9652 2.3521
O 5.6614 -5.3168 2.5130
O 6.5168 -8.5276 4.3498
O 7.6310 -8.5027 1.8923
Rb 2.1797 -3.0085 0.9578
Rb 8.8921 -12.2734 3.9074
Se 4.1349 -5.7072 1.8169
Se 6.9369 -9.5747 3.0482
```

Properties
Total DFT energy (no corrections), eV/cell: -53.48

---

No. 3
A relaxed Na2Cd11 crystal. Source: OQMD via LeMat-Bulk, functional PBE.

```
39
Lattice="9.6171 0.0000 0.0000 0.0000 9.6171 0.0000 0.0000 0.0000 9.6171" Properties=species:S:1:pos:R:3 pbc="T T T"
Cd 0.0000 0.0000 0.0000
Cd 1.4918 2.5849 0.0000
Cd 8.1253 2.5849 0.0000
Cd 3.2858 4.8086 0.0000
Cd 6.3313 4.8086 0.0000
Cd 1.4918 7.0322 0.0000
Cd 8.1253 7.0322 0.0000
Cd 2.5849 0.0000 1.4918
Cd 7.0322 0.0000 1.4918
Cd 4.8086 4.8086 2.5798
Cd 0.0000 1.4918 2.5849
Cd 0.0000 8.1253 2.5849
Cd 2.7065 2.7065 2.7065
Cd 6.9106 2.7065 2.7065
Cd 2.7065 6.9106 2.7065
Cd 6.9106 6.9106 2.7065
Cd 4.8086 0.0000 3.2858
Cd 4.8086 2.5798 4.8086
Cd 0.0000 3.2858 4.8086
Cd 2.5798 4.8086 4.8086
Cd 7.0373 4.8086 4.8086
Cd 0.0000 6.3313 4.8086
Cd 4.8086 7.0373 4.8086
Cd 4.8086 0.0000 6.3313
Cd 2.7065 2.7065 6.9106
Cd 6.9106 2.7065 6.9106
Cd 2.7065 6.9106 6.9106
Cd 6.9106 6.9106 6.9106
Cd 0.0000 1.4918 7.0322
Cd 0.0000 8.1253 7.0322
Cd 4.8086 4.8086 7.0373
Cd 2.5849 0.0000 8.1253
Cd 7.0322 0.0000 8.1253
Na 4.8086 1.9037 0.0000
Na 4.8086 7.7134 0.0000
Na 0.0000 4.8086 1.9037
Na 1.9037 0.0000 4.8086
Na 7.7134 0.0000 4.8086
Na 0.0000 4.8086 7.7134
```

Properties
Total DFT energy (no corrections), eV/cell: -40.93

---

No. 4
A relaxed GdHfZnCo2 crystal. Source: OQMD via LeMat-Bulk, functional PBE.

```
5
Lattice="4.2638 -2.7632 0.6977 0.6354 0.8688 5.0143 -3.7401 -2.1472 -2.7754" Properties=species:S:1:pos:R:3 pbc="T T T"
Co 2.6189 -2.3514 2.2890
Co -1.4190 -1.7061 0.6952
Gd 3.8736 -1.4979 4.5163
Hf 1.0180 -0.3937 1.1869
Zn 0.8638 -1.5735 3.9365
```

Properties
Formation enthalpy at 0 K, eV per atom: -0.27
Total magnetization, μB per formula unit: 0.012
Total DFT energy (no corrections), eV/cell: -31.45